Record 1
K3Ca2ReO6 (GGA-PBE, optimized geometry); crystal system = monoclinic; formation energy from raw total energies = -45.99 kcal/mol of atoms; M_tot = 2.00 μB per formula unit
1.0
2.937 -5.082 0.000
2.937 5.082 0.000
-1.971 0.000 6.127
K Ca Re O
3 2 1 6
Direct
0.000 0.000 0.000
0.333 0.667 0.000
0.667 0.333 0.000
0.167 0.833 0.500
0.833 0.167 0.500
0.500 0.500 0.500
0.149 0.438 0.316
0.272 0.272 0.684
0.438 0.149 0.316
0.562 0.851 0.684
0.728 0.728 0.316
0.851 0.562 0.684

***

Record 2
LaCu5Si3 (GGA-PBE, optimized geometry); crystal system = orthorhombic; formation energy from raw total energies = -7.58 kcal/mol of atoms; M_tot = 0.00 μB per formula unit
1.0
1.939 -6.052 0.000
1.939 6.052 0.000
0.000 0.000 11.864
La Cu Si
2 10 6
Direct
0.167 0.833 0.750
0.833 0.167 0.250
0.000 0.000 0.000
0.000 0.000 0.500
0.194 0.806 0.061
0.194 0.806 0.439
0.445 0.555 0.648
0.445 0.555 0.852
0.555 0.445 0.148
0.555 0.445 0.352
0.806 0.194 0.561
0.806 0.194 0.939
0.118 0.882 0.250
0.385 0.615 0.045
0.385 0.615 0.455
0.615 0.385 0.545
0.615 0.385 0.955
0.882 0.118 0.750

***

Record 3
LaNi2Pb (GGA-PBE, optimized geometry); crystal system = orthorhombic; M_tot = 0.00 μB per formula unit; ΔH_f (0 K) = -0.098 eV per atom
1.0
3.839 0.000 0.000
0.000 3.857 0.000
0.000 0.000 11.890
La Ni Pb
2 4 2
Direct
0.000 0.000 0.000
0.500 0.500 0.500
0.000 0.000 0.415
0.000 0.500 0.789
0.500 0.000 0.289
0.500 0.500 0.915
0.000 0.500 0.241
0.500 0.000 0.741